The following is a GGA-PBE calculation of crystalline LuCdPb at its relaxed geometry, from Alexandria.

a b c (Å): 8.647 8.647 8.647
angles (deg): 157.78 157.78 31.62
Element x y z (fractional)
Lu (0.000, 0.000, 0.000)
Cd (0.820, 0.820, 0.000)
Pb (0.639, 0.639, 0.000)

As for the energy: -2.935 eV/atom. For the energy of formation from the pure elements, the calculation gives 11.0 kJ per mole of atoms. The value obtained for the spin magnetization is 0.110 μB/f.u.